1.
Material: DySiPt
Method: DFT, GGA-PBE
State: relaxed

a = 5.6717 Å, b = 4.2233 Å, c = 10.1969 Å
α = 90.00°, β = 90.00°, γ = 90.00°
Element x y z (fractional)
Dy 0.1355 0.2500 0.1305
Dy 0.3645 0.7500 0.6305
Dy 0.6355 0.2500 0.3695
Dy 0.8645 0.7500 0.8695
Si 0.1234 0.7500 0.3406
Si 0.3766 0.2500 0.8406
Si 0.6234 0.7500 0.1594
Si 0.8766 0.2500 0.6594
Pt 0.1484 0.2500 0.4495
Pt 0.3516 0.7500 0.9495
Pt 0.6484 0.2500 0.0505
Pt 0.8516 0.7500 0.5505

Total moment, μB/f.u.: 0.00
E_tot, Ry per atom: -0.4659

***

2.
Material: Hf5Si4
Method: DFT, GGA-PBE
State: relaxed

a = 7.0642 Å, b = 7.0642 Å, c = 12.8621 Å
α = 90.00°, β = 90.00°, γ = 90.00°
Element x y z (fractional)
Hf 0.9996 0.1464 0.1237
Hf 0.0004 0.8536 0.6237
Hf 0.0027 0.6529 0.2171
Hf 0.1464 0.9996 0.8763
Hf 0.1529 0.4973 0.9671
Hf 0.1746 0.1746 0.5000
Hf 0.3254 0.6746 0.7500
Hf 0.3471 0.9973 0.2829
Hf 0.3536 0.4996 0.3737
Hf 0.4973 0.1529 0.0329
Hf 0.4996 0.3536 0.6263
Hf 0.5004 0.6464 0.1263
Hf 0.5027 0.8471 0.5329
Hf 0.6464 0.5004 0.8737
Hf 0.6529 0.0027 0.7829
Hf 0.6746 0.3254 0.2500
Hf 0.8254 0.8254 0.0000
Hf 0.8471 0.5027 0.4671
Hf 0.8536 0.0004 0.3763
Hf 0.9973 0.3471 0.7171
Si 0.0475 0.3029 0.3138
Si 0.1467 0.7958 0.4271
Si 0.1971 0.5475 0.5638
Si 0.2042 0.8533 0.0729
Si 0.2958 0.3533 0.1771
Si 0.3029 0.0475 0.6862
Si 0.3533 0.2958 0.8229
Si 0.4525 0.8029 0.9362
Si 0.5475 0.1971 0.4362
Si 0.6467 0.7042 0.3229
Si 0.6971 0.9525 0.1862
Si 0.7042 0.6467 0.6771
Si 0.7958 0.1467 0.5729
Si 0.8029 0.4525 0.0638
Si 0.8533 0.2042 0.9271
Si 0.9525 0.6971 0.8138

Total moment, μB/f.u.: 0.00
Distance to the lowest polymorph of the same formula, meV per atom: 0.0

***

3.
Material: Li2Mg2Ga2CuAu
Method: DFT, GGA-PBE
State: relaxed

a = 4.4312 Å, b = 4.4312 Å, c = 6.2658 Å
α = 90.00°, β = 90.00°, γ = 90.00°
Element x y z (fractional)
Li 0.0000 0.0000 0.0000
Li 0.5000 0.5000 0.5000
Mg 0.0000 0.5000 0.2420
Mg 0.5000 0.0000 0.7580
Ga 0.0000 0.5000 0.7645
Ga 0.5000 0.0000 0.2355
Cu 0.5000 0.5000 0.0000
Au 0.0000 0.0000 0.5000

E_tot, Ry per atom: -0.2094

***

4.
Material: YNbSn2Pd2
Method: DFT, GGA-PBE
State: relaxed

a = 4.5039 Å, b = 9.0519 Å, c = 6.4284 Å
α = 90.00°, β = 90.00°, γ = 90.00°
Element x y z (fractional)
Y 0.0000 0.1224 0.0000
Y 0.5000 0.8776 0.5000
Nb 0.0000 0.6247 0.9976
Nb 0.5000 0.3753 0.4976
Sn 0.0000 0.1326 0.5072
Sn 0.0000 0.6204 0.4874
Sn 0.5000 0.3796 0.9874
Sn 0.5000 0.8674 0.0072
Pd 0.0000 0.3878 0.7400
Pd 0.0000 0.8576 0.7608
Pd 0.5000 0.1424 0.2608
Pd 0.5000 0.6122 0.2400

Total moment, μB/f.u.: 0.00
E_tot, Ry per atom: -0.4731

***

5.
Material: DyZrCu6
Method: DFT, GGA-PBE
State: relaxed

a = 4.4533 Å, b = 5.8101 Å, c = 4.7564 Å
α = 90.00°, β = 90.00°, γ = 90.00°
Element x y z (fractional)
Dy 0.0000 0.0000 0.0000
Zr 0.5000 0.5000 0.3062
Cu 0.0000 0.2695 0.4962
Cu 0.0000 0.5000 0.9612
Cu 0.0000 0.7305 0.4962
Cu 0.5000 0.0000 0.3954
Cu 0.5000 0.2736 0.8056
Cu 0.5000 0.7264 0.8056

Total moment, μB/f.u.: 0.01
E_form, meV per atom: -144

***

6.
Material: CsDyFeS3
Method: DFT, GGA-PBE
State: relaxed

a = 8.5775 Å, b = 8.5775 Å, c = 8.9585 Å
α = 101.27°, β = 101.27°, γ = 27.96°
Element x y z (fractional)
Cs 0.1561 0.1561 0.0607
Cs 0.8439 0.8439 0.9393
Dy 0.1619 0.1619 0.5685
Dy 0.8381 0.8381 0.4315
Fe 0.5005 0.5005 0.2649
Fe 0.4995 0.4995 0.7351
S 0.0000 0.0000 0.5000
S 0.3366 0.3366 0.6359
S 0.3564 0.3564 0.2447
S 0.5000 0.5000 0.0000
S 0.6437 0.6437 0.7553
S 0.6634 0.6634 0.3641

Total moment, μB/f.u.: 4.00
E_tot, Ry per atom: -0.4011

***

7.
Material: K3Cu2F7
Method: DFT, GGA-PBE
State: relaxed

a = 10.6308 Å, b = 10.6308 Å, c = 10.6308 Å
α = 158.44°, β = 158.44°, γ = 30.67°
Element x y z (fractional)
K 0.0000 0.0000 0.0000
K 0.1842 0.1842 0.0000
K 0.8158 0.8158 0.0000
Cu 0.4035 0.4035 0.0000
Cu 0.5965 0.5965 0.0000
F 0.0941 0.5941 0.5000
F 0.3059 0.3059 0.0000
F 0.4059 0.9059 0.5000
F 0.5000 0.5000 0.0000
F 0.5941 0.0941 0.5000
F 0.6941 0.6941 0.0000
F 0.9059 0.4059 0.5000

E_tot, Ry per atom: -0.3064

***

8.
Material: Y4ErLu2Ni2Te2
Method: DFT, GGA-PBE
State: relaxed

a = 9.3009 Å, b = 9.3009 Å, c = 9.3009 Å
α = 156.09°, β = 67.39°, γ = 118.05°
Element x y z (fractional)
Y 0.1319 0.0000 0.1319
Y 0.2057 0.8525 0.3532
Y 0.4993 0.8525 0.6468
Y 0.8681 0.0000 0.8681
Er 0.5826 0.5826 0.0000
Lu 0.5173 0.2020 0.3153
Lu 0.8868 0.2020 0.6847
Ni 0.2806 0.5170 0.7636
Ni 0.7534 0.5170 0.2364
Te 0.2474 0.2474 0.0000
Te 0.8438 0.3438 0.5000

Total moment, μB/f.u.: 0.10
Distance to the lowest polymorph of the same formula, meV per atom: 0.0

***

9.
Material: AcZnIn
Method: DFT, GGA-PBE
State: relaxed

a = 5.3166 Å, b = 5.3166 Å, c = 5.3166 Å
α = 60.00°, β = 60.00°, γ = 60.00°
Element x y z (fractional)
Ac 0.0000 0.0000 0.0000
Zn 0.2500 0.2500 0.2500
In 0.7500 0.7500 0.7500

Total moment, μB/f.u.: 0.00
Distance to the lowest polymorph of the same formula, meV per atom: 515.2

***

10.
Material: Er2TmIn3Pt2Au
Method: DFT, GGA-PBE
State: relaxed

a = 3.7599 Å, b = 7.7550 Å, c = 7.7550 Å
α = 119.95°, β = 90.00°, γ = 90.00°
Element x y z (fractional)
Er 0.0000 0.2037 0.7963
Er 0.0000 0.7963 0.2037
Tm 0.0000 0.6111 0.6111
In 0.5000 0.2039 0.4737
In 0.5000 0.4737 0.2039
In 0.5000 0.9333 0.9333
Pt 0.5000 0.5372 0.8697
Pt 0.5000 0.8697 0.5372
Au 0.0000 0.2039 0.2039

Total moment, μB/f.u.: 0.00
E_tot, Ry per atom: -0.3707